Entry 1:
# NiN (PBE-GGA, relaxed)
data_NiN
_chemical_formula_sum 'Ni2 N2'
_symmetry_space_group_name_H-M 'P 4/m m m'
_symmetry_Int_Tables_number 123
_symmetry_space_group_name_Hall '-P 4 2'
_cell_length_a 3.3342
_cell_length_b 3.3342
_cell_length_c 3.6065
_cell_angle_alpha 90.00
_cell_angle_beta 90.00
_cell_angle_gamma 90.00
loop_
_atom_site_label
_atom_site_type_symbol
_atom_site_fract_x
_atom_site_fract_y
_atom_site_fract_z
Ni1 Ni 0.0000 0.5000 0.0000
N1 N 0.0000 0.0000 0.3195
# ΔE_f (raw) = 0.39 eV/atom
# Total magnetic moment = 0.0 μB per formula unit
# Calculated volume = 10.02 Å³/atom

Entry 2:
# NpNiN (PBE-GGA, relaxed)
data_NpNiN
_chemical_formula_sum 'Np2 Ni2 N2'
_symmetry_space_group_name_H-M 'I 4 m m'
_symmetry_Int_Tables_number 107
_symmetry_space_group_name_Hall 'I 4 -2'
_cell_length_a 3.2403
_cell_length_b 3.2403
_cell_length_c 9.0375
_cell_angle_alpha 90.00
_cell_angle_beta 90.00
_cell_angle_gamma 90.00
loop_
_atom_site_label
_atom_site_type_symbol
_atom_site_fract_x
_atom_site_fract_y
_atom_site_fract_z
Np1 Np 0.0000 0.0000 0.0000
Ni1 Ni 0.0000 0.0000 0.2876
N1 N 0.0000 0.0000 0.5058
# ΔE_f (raw) = -0.11 eV/atom
# Total magnetic moment = 2.8 μB per formula unit
# Calculated volume = 15.81 Å³/atom

Entry 3:
# Np3Ni5N12 (PBE-GGA, relaxed)
data_Np3Ni5N12
_chemical_formula_sum 'Np24 Ni40 N96'
_symmetry_space_group_name_H-M 'I a -3 d'
_symmetry_Int_Tables_number 230
_symmetry_space_group_name_Hall '-I 4bd 2c 3'
_cell_length_a 11.9537
_cell_length_b 11.9537
_cell_length_c 11.9537
_cell_angle_alpha 90.00
_cell_angle_beta 90.00
_cell_angle_gamma 90.00
loop_
_atom_site_label
_atom_site_type_symbol
_atom_site_fract_x
_atom_site_fract_y
_atom_site_fract_z
Np1 Np 0.0000 0.2500 0.1250
Ni1 Ni 0.0000 0.0000 0.0000
Ni2 Ni 0.0000 0.2500 0.3750
N1 N 0.0206 0.0584 0.6526
# ΔE_f (raw) = 0.02 eV/atom
# Total magnetic moment = 0.0 μB per formula unit
# Calculated volume = 10.68 Å³/atom

Entry 4:
# NpNiN (PBE-GGA, relaxed)
data_NpNiN
_chemical_formula_sum 'Np1 Ni1 N1'
_symmetry_space_group_name_H-M 'P -6 m 2'
_symmetry_Int_Tables_number 187
_symmetry_space_group_name_Hall 'P -6 2'
_cell_length_a 3.7497
_cell_length_b 3.7497
_cell_length_c 3.7183
_cell_angle_alpha 90.00
_cell_angle_beta 90.00
_cell_angle_gamma 120.00
loop_
_atom_site_label
_atom_site_type_symbol
_atom_site_fract_x
_atom_site_fract_y
_atom_site_fract_z
Np1 Np 0.0000 0.0000 0.0000
Ni1 Ni 0.6667 0.3333 0.5000
N1 N 0.3333 0.6667 0.0000
# ΔE_f (raw) = -0.02 eV/atom
# Total magnetic moment = 2.0 μB per formula unit
# Calculated volume = 15.09 Å³/atom

Entry 5:
# NpNiN2 (PBE-GGA, relaxed)
data_NpNiN2
_chemical_formula_sum 'Np3 Ni3 N6'
_symmetry_space_group_name_H-M 'R -3 m'
_symmetry_Int_Tables_number 166
_symmetry_space_group_name_Hall '-R 3 2"'
_cell_length_a 3.5354
_cell_length_b 3.5354
_cell_length_c 16.0963
_cell_angle_alpha 90.00
_cell_angle_beta 90.00
_cell_angle_gamma 120.00
loop_
_atom_site_label
_atom_site_type_symbol
_atom_site_fract_x
_atom_site_fract_y
_atom_site_fract_z
Np1 Np 0.0000 0.0000 0.0000
Ni1 Ni 0.0000 0.0000 0.5000
N1 N 0.0000 0.0000 0.3886
# ΔE_f (raw) = -0.61 eV/atom
# Total magnetic moment = 1.0 μB per formula unit
# Calculated volume = 14.52 Å³/atom

Entry 6:
# NpNiN (PBE-GGA, relaxed)
data_NpNiN
_chemical_formula_sum 'Np4 Ni4 N4'
_symmetry_space_group_name_H-M 'P n m a'
_symmetry_Int_Tables_number 62
_cell_length_a 6.7699
_cell_length_b 4.1110
_cell_length_c 6.1019
_cell_angle_alpha 90.00
_cell_angle_beta 90.00
_cell_angle_gamma 90.00
loop_
_symmetry_equiv_pos_as_xyz
'x,y,z'
'-x,-y,-z'
'-x+1/2,-y,z+1/2'
'x+1/2,y,-z+1/2'
'x+1/2,-y+1/2,-z+1/2'
'-x+1/2,y+1/2,z+1/2'
'-x,y+1/2,-z'
'x,-y+1/2,z'
loop_
_atom_site_label
_atom_site_type_symbol
_atom_site_fract_x
_atom_site_fract_y
_atom_site_fract_z
Np1 Np 0.1602 0.2500 0.1483
Ni1 Ni 0.0559 0.2500 0.5811
N1 N 0.1547 0.7500 0.9884
# ΔE_f (raw) = -0.48 eV/atom
# Total magnetic moment = 2.5 μB per formula unit
# Calculated volume = 14.15 Å³/atom

Entry 7:
# Np2PaNiN4 (PBE-GGA, relaxed)
data_Np2PaNiN4
_chemical_formula_sum 'Np8 Pa4 Ni4 N16'
_symmetry_space_group_name_H-M 'C m c m'
_symmetry_Int_Tables_number 63
_symmetry_space_group_name_Hall '-C 2c 2'
_cell_length_a 3.3700
_cell_length_b 11.0842
_cell_length_c 11.4728
_cell_angle_alpha 90.00
_cell_angle_beta 90.00
_cell_angle_gamma 90.00
loop_
_atom_site_label
_atom_site_type_symbol
_atom_site_fract_x
_atom_site_fract_y
_atom_site_fract_z
Np1 Np 0.0000 0.1314 0.0571
Pa1 Pa 0.0000 0.3884 0.2500
Ni1 Ni 0.0000 0.3442 0.7500
N1 N 0.0000 0.0410 0.2500
N2 N 0.0000 0.2216 0.6249
N3 N 0.0000 0.5000 0.0000
# ΔE_f (raw) = -1.03 eV/atom
# Total magnetic moment = 6.7 μB per formula unit
# Calculated volume = 13.39 Å³/atom

Entry 8:
# NpPa2NiN5 (PBE-GGA, relaxed)
data_NpPa2NiN5
_chemical_formula_sum 'Np4 Pa8 Ni4 N20'
_symmetry_space_group_name_H-M 'C m c 21'
_symmetry_Int_Tables_number 36
_cell_length_a 3.3531
_cell_length_b 13.1764
_cell_length_c 10.3438
_cell_angle_alpha 90.00
_cell_angle_beta 90.00
_cell_angle_gamma 90.00
loop_
_symmetry_equiv_pos_as_xyz
'x,y,z'
'-x,-y,z+1/2'
'-x,y,z'
'x,-y,z+1/2'
'x+1/2,y+1/2,z'
'-x+1/2,-y+1/2,z+1/2'
'-x+1/2,y+1/2,z'
'x+1/2,-y+1/2,z+1/2'
loop_
_atom_site_label
_atom_site_type_symbol
_atom_site_fract_x
_atom_site_fract_y
_atom_site_fract_z
Np1 Np 0.0000 0.1813 0.0000
Pa1 Pa 0.0000 0.1233 0.6859
Pa2 Pa 0.0000 0.1267 0.3063
Ni1 Ni 0.0000 0.4907 0.9893
N1 N 0.0000 0.0306 0.0765
N2 N 0.0000 0.2986 0.6545
N3 N 0.0000 0.2996 0.3419
N4 N 0.0000 0.3425 0.0055
N5 N 0.0000 0.4962 0.7945
# ΔE_f (raw) = -1.08 eV/atom
# Total magnetic moment = 1.5 μB per formula unit
# Calculated volume = 12.69 Å³/atom